1.
# ZrSe2NCl | Alexandria via LeMat-Bulk | PBE-GGA | optimized geometry
data_ZrSe2NCl
_chemical_formula_sum 'Zr1 Se2 N1 Cl1'
_symmetry_space_group_name_H-M 'P 4/m m m'
_symmetry_Int_Tables_number 123
_symmetry_space_group_name_Hall '-P 4 2'
_cell_length_a 4.852
_cell_length_b 4.852
_cell_length_c 3.817
_cell_angle_alpha 90.00
_cell_angle_beta 90.00
_cell_angle_gamma 90.00
loop_
_atom_site_label
_atom_site_fract_x
_atom_site_fract_y
_atom_site_fract_z
_atom_site_occupancy
Zr1 0.000 0.000 0.000 1
Se1 0.000 0.500 0.500 1
N1 0.500 0.500 0.000 1
Cl1 0.500 0.500 0.500 1
# - V: 90 Å³ per cell
# - Formation energy without anion corrections: 957 meV per atom
# - Electronic total energy: -4.181 eV/atom
# - Crystal system: tetragonal

---

2.
# ZrSeN2Cl | Alexandria via LeMat-Bulk | PBE-GGA | optimized geometry
data_ZrSeN2Cl
_chemical_formula_sum 'Zr1 Se1 N2 Cl1'
_symmetry_space_group_name_H-M 'P 4/m m m'
_symmetry_Int_Tables_number 123
_symmetry_space_group_name_Hall '-P 4 2'
_cell_length_a 4.110
_cell_length_b 4.110
_cell_length_c 5.933
_cell_angle_alpha 90.00
_cell_angle_beta 90.00
_cell_angle_gamma 90.00
loop_
_atom_site_label
_atom_site_fract_x
_atom_site_fract_y
_atom_site_fract_z
_atom_site_occupancy
Zr1 0.000 0.000 0.000 1
Se1 0.000 0.000 0.500 1
N1 0.000 0.500 0.000 1
Cl1 0.500 0.500 0.500 1
# - V: 100 Å³ per cell
# - Formation energy without anion corrections: 540 meV per atom
# - Electronic total energy: -5.566 eV/atom
# - Crystal system: tetragonal